one | DFT (PBE) results for a relaxed CsBa2In2 crystal.

a = 10.2036 Å, b = 10.2036 Å, c = 4.4764 Å
α = 90.00°, β = 90.00°, γ = 90.00°
Last column: nearest neighbours and their distance in Å.
Space group P4/mbm (No. 127)
Inequivalent atoms, fractional coordinates:
Cs 0.0000 0.0000 0.0000 [2 per cell]  4 In 4.13, 8 Ba 4.39, 2 Cs 4.48
Ba 0.1737 0.3263 0.5000 [4 per cell]  6 In 3.72-3.83
In 0.1112 0.6112 0.0000 [4 per cell]  1 In 3.21

Properties
- V: 466 Å³ per cell
- Crystal system: tetragonal

=====

two | DFT (PBE) results for a relaxed CsBa2In2 crystal.

a = 6.5848 Å, b = 6.5848 Å, c = 11.5301 Å
α = 90.00°, β = 90.00°, γ = 90.00°
Last column: nearest neighbours and their distance in Å.
Space group I4/mmm (No. 139)
Inequivalent atoms, fractional coordinates:
Cs 0.0000 0.0000 0.0000 [2 per cell]  10 In 4.37-4.86, 8 Ba 4.38
Ba 0.0000 0.5000 0.2500 [4 per cell]  4 In 3.61
In 0.0000 0.0000 0.3791 [4 per cell]  1 In 2.79

Properties
- V: 500 Å³ per cell
- Crystal system: tetragonal

=====

Which structure is the most stable? The one labeled one.

=====

one | DFT (PBE) results for a relaxed Cs2BaIn2 crystal.

a = 5.4619 Å, b = 5.4619 Å, c = 17.1981 Å
α = 90.00°, β = 90.00°, γ = 90.00°
Last column: nearest neighbours and their distance in Å.
Space group I4/mmm (No. 139)
Inequivalent atoms, fractional coordinates:
Cs 0.0000 0.5000 0.2500 [4 per cell]  4 Cs 3.86, 4 In 3.98
Ba 0.0000 0.0000 0.0000 [2 per cell]  8 In 4.11
In 0.0000 0.0000 0.4183 [4 per cell]  1 In 2.81

Properties
- V: 513 Å³ per cell
- Crystal system: tetragonal

=====

two | DFT (PBE) results for a relaxed Cs2BaIn2 crystal.

a = 9.0785 Å, b = 9.0785 Å, c = 6.6429 Å
α = 90.00°, β = 90.00°, γ = 90.00°
Last column: nearest neighbours and their distance in Å.
Space group P4/mbm (No. 127)
Inequivalent atoms, fractional coordinates:
Cs 0.1783 0.3217 0.0000 [4 per cell]  6 In 4.28-4.29, 5 Cs 4.58-4.72, 4 Ba 4.71
Ba 0.0000 0.0000 0.5000 [2 per cell]  4 In 3.68
In 0.1105 0.6105 0.5000 [4 per cell]  1 In 2.84

Properties
- V: 548 Å³ per cell
- Crystal system: tetragonal

=====

Which structure is the most stable? The one labeled two.

=====

one | DFT (PBE) results for a relaxed CsBa2InIr crystal.

a = 6.2148 Å, b = 6.2148 Å, c = 5.4095 Å
α = 90.00°, β = 90.00°, γ = 90.00°
Last column: nearest neighbours and their distance in Å.
Space group P4/mmm (No. 123)
Inequivalent atoms, fractional coordinates:
Cs 0.0000 0.0000 0.0000 [1 per cell]  8 Ba 4.12, 4 In 4.39
Ba 0.0000 0.5000 0.5000 [2 per cell]  2 Ir 3.11
In 0.5000 0.5000 0.0000 [1 per cell]  2 Ir 2.70
Ir 0.5000 0.5000 0.5000 [1 per cell]  2 In 2.70

Properties
- V: 209 Å³ per cell
- Crystal system: tetragonal

=====

two | DFT (PBE) results for a relaxed CsBa2InIr crystal.

a = 6.5721 Å, b = 6.5721 Å, c = 5.0374 Å
α = 90.00°, β = 90.00°, γ = 90.00°
Last column: nearest neighbours and their distance in Å.
Space group P4/mmm (No. 123)
Inequivalent atoms, fractional coordinates:
Cs 0.0000 0.0000 0.0000 [1 per cell]  2 Ir 2.52
Ba 0.0000 0.5000 0.0000 [2 per cell]  2 Cs 3.29
In 0.5000 0.5000 0.5000 [1 per cell]  8 Ba 4.14
Ir 0.0000 0.0000 0.5000 [1 per cell]  2 Cs 2.52

Properties
- V: 218 Å³ per cell
- Crystal system: tetragonal

=====

Which structure is the most stable? The one labeled one.

=====

one | DFT (PBE) results for a relaxed CsBaIr3 crystal.

a = 5.4027 Å, b = 5.4027 Å, c = 5.4027 Å
α = 90.00°, β = 90.00°, γ = 90.00°
Last column: nearest neighbours and their distance in Å.
Space group Pm-3m (No. 221)
Inequivalent atoms, fractional coordinates:
Cs 0.0000 0.0000 0.0000 [1 per cell]  12 Ir 3.82
Ba 0.5000 0.5000 0.5000 [1 per cell]  6 Ir 2.70
Ir 0.0000 0.5000 0.5000 [3 per cell]  2 Ba 2.70

Properties
- V: 158 Å³ per cell
- Crystal system: cubic

=====

two | DFT (PBE) results for a relaxed CsBaIr3 crystal.

a = 5.1621 Å, b = 5.1621 Å, c = 5.1621 Å
α = 90.00°, β = 90.00°, γ = 90.00°
Last column: nearest neighbours and their distance in Å.
Space group Pm-3m (No. 221)
Inequivalent atoms, fractional coordinates:
Cs 0.0000 0.0000 0.0000 [1 per cell]  6 Ir 2.58
Ba 0.5000 0.5000 0.5000 [1 per cell]  12 Ir 3.65
Ir 0.0000 0.0000 0.5000 [3 per cell]  2 Cs 2.58

Properties
- V: 138 Å³ per cell
- Crystal system: cubic

=====

Which structure is the most stable? The one labeled two.

=====

one | DFT (PBE) results for a relaxed CsBaIr2 crystal.

a = 4.8141 Å, b = 4.8141 Å, c = 22.2017 Å
α = 90.00°, β = 90.00°, γ = 90.00°
Last column: nearest neighbours and their distance in Å.
Space group I-42d (No. 122)
Inequivalent atoms, fractional coordinates:
Cs 0.0000 0.0000 0.0000 [4 per cell]  4 Ir 3.05, 4 Ba 3.40
Ba 0.0000 0.0000 0.5000 [4 per cell]  4 Cs 3.40, 4 Ir 3.65
Ir 0.0769 0.2500 0.1250 [8 per cell]  2 Ir 2.52

Properties
- V: 515 Å³ per cell
- Crystal system: tetragonal

=====

two | DFT (PBE) results for a relaxed CsBaIr2 crystal.

a = 7.6640 Å, b = 7.6640 Å, c = 7.6640 Å
α = 90.00°, β = 90.00°, γ = 90.00°
Last column: nearest neighbours and their distance in Å.
Space group Fm-3m (No. 225)
Inequivalent atoms, fractional coordinates:
Cs 0.0000 0.0000 0.0000 [4 per cell]  8 Ir 3.32
Ba 0.0000 0.0000 0.5000 [4 per cell]  8 Ir 3.32
Ir 0.2500 0.2500 0.2500 [8 per cell]  4 Ba 3.32, 4 Cs 3.32

Properties
- V: 450 Å³ per cell
- Crystal system: cubic

=====

Which structure is the most stable? The one labeled one.

=====

one | DFT (PBE) results for a relaxed CsKBa2 crystal.

a = 10.6124 Å, b = 10.6124 Å, c = 10.6124 Å
α = 90.00°, β = 90.00°, γ = 90.00°
Last column: nearest neighbours and their distance in Å.
Space group Fm-3m (No. 225)
Inequivalent atoms, fractional coordinates:
Cs 0.0000 0.0000 0.0000 [4 per cell]  8 Ba 4.60
K 0.0000 0.0000 0.5000 [4 per cell]  8 Ba 4.60
Ba 0.2500 0.2500 0.2500 [8 per cell]  4 Cs 4.60, 4 K 4.60

Properties
- V: 1195 Å³ per cell
- Crystal system: cubic

=====

two | DFT (PBE) results for a relaxed CsKBa2 crystal.

a = 4.5496 Å, b = 4.5496 Å, c = 49.7927 Å
α = 90.00°, β = 90.00°, γ = 120.00°
Last column: nearest neighbours and their distance in Å.
Space group R-3m (No. 166, hexagonal axes)
Inequivalent atoms, fractional coordinates:
Cs 0.0000 0.0000 0.0000 [3 per cell]  2 Ba 4.44, 6 Cs 4.55
K 0.0000 0.0000 0.5000 [3 per cell]  6 K 4.55, 6 Ba 4.67
Ba 0.0000 0.0000 0.0891 [6 per cell]  1 Cs 4.44, 6 Ba 4.55, 3 K 4.67

Properties
- V: 893 Å³ per cell
- Crystal system: trigonal

=====

Which structure is the most stable? The one labeled two.

=====

one | DFT (PBE) results for a relaxed Cs2KBa2 crystal.

a = 13.6890 Å, b = 13.6890 Å, c = 4.7319 Å
α = 90.00°, β = 90.00°, γ = 90.00°
Last column: nearest neighbours and their distance in Å.
Space group P4/mbm (No. 127)
Inequivalent atoms, fractional coordinates:
Cs 0.1830 0.3170 0.0000 [4 per cell]  6 Ba 4.64-4.77, 2 Cs 4.73
K 0.0000 0.0000 0.5000 [2 per cell]  2 K 4.73
Ba 0.1109 0.6109 0.5000 [4 per cell]  3 Ba 4.29-4.73, 6 Cs 4.64-4.77

Properties
- V: 887 Å³ per cell
- Crystal system: tetragonal

=====

two | DFT (PBE) results for a relaxed Cs2KBa2 crystal.

a = 13.8064 Å, b = 13.8064 Å, c = 4.6813 Å
α = 90.00°, β = 90.00°, γ = 90.00°
Last column: nearest neighbours and their distance in Å.
Space group P4/mbm (No. 127)
Inequivalent atoms, fractional coordinates:
Cs 0.1823 0.3177 0.0000 [4 per cell]  6 Ba 4.67-4.78, 2 Cs 4.68, 2 K 5.06
K 0.0000 0.0000 0.0000 [2 per cell]  2 K 4.68, 4 Cs 5.06
Ba 0.1109 0.6109 0.5000 [4 per cell]  3 Ba 4.33-4.68, 6 Cs 4.67-4.78

Properties
- V: 892 Å³ per cell
- Crystal system: tetragonal

=====

Which structure is the most stable? The one labeled one.

=====

one | DFT (PBE) results for a relaxed Cs2K2Ba crystal.

a = 6.5314 Å, b = 6.5314 Å, c = 20.8167 Å
α = 90.00°, β = 90.00°, γ = 90.00°
Last column: nearest neighbours and their distance in Å.
Space group I4/mmm (No. 139)
Inequivalent atoms, fractional coordinates:
Cs 0.0000 0.5000 0.2500 [4 per cell]  4 Cs 4.62, 4 K 4.65
K 0.0000 0.0000 0.0911 [4 per cell]  1 K 3.79
Ba 0.0000 0.0000 0.5000 [2 per cell]  8 K 4.99

Properties
- V: 888 Å³ per cell
- Crystal system: tetragonal

=====

two | DFT (PBE) results for a relaxed Cs2K2Ba crystal.

a = 12.8168 Å, b = 12.8168 Å, c = 5.1567 Å
α = 90.00°, β = 90.00°, γ = 90.00°
Last column: nearest neighbours and their distance in Å.
Space group P4/mbm (No. 127)
Inequivalent atoms, fractional coordinates:
Cs 0.1765 0.3235 0.0000 [4 per cell]  6 K 4.43-4.69
K 0.1249 0.6249 0.5000 [4 per cell]  6 Cs 4.43-4.69, 1 K 4.53
Ba 0.0000 0.0000 0.5000 [2 per cell]  4 K 5.07, 2 Ba 5.16, 8 Cs 5.38

Properties
- V: 847 Å³ per cell
- Crystal system: tetragonal

=====

three | DFT (PBE) results for a relaxed Cs2K2Ba crystal.

a = 13.0745 Å, b = 13.0745 Å, c = 4.9094 Å
α = 90.00°, β = 90.00°, γ = 90.00°
Last column: nearest neighbours and their distance in Å.
Space group P4/mbm (No. 127)
Inequivalent atoms, fractional coordinates:
Cs 0.1326 0.3674 0.0000 [4 per cell]  6 K 4.37-4.70
K 0.1718 0.6718 0.5000 [4 per cell]  6 Cs 4.37-4.70
Ba 0.0000 0.0000 0.0000 [2 per cell]  2 Ba 4.91, 4 Cs 5.11, 8 K 5.43

Properties
- V: 839 Å³ per cell
- Crystal system: tetragonal

=====

four | DFT (PBE) results for a relaxed Cs2K2Ba crystal.

a = 5.7752 Å, b = 5.7752 Å, c = 27.5586 Å
α = 90.00°, β = 90.00°, γ = 90.00°
Last column: nearest neighbours and their distance in Å.
Space group I4/mmm (No. 139)
Inequivalent atoms, fractional coordinates:
Cs 0.0000 0.0000 0.1035 [4 per cell]  4 K 4.96, 4 Ba 4.98
K 0.0000 0.5000 0.2500 [4 per cell]  4 K 4.08
Ba 0.0000 0.0000 0.5000 [2 per cell]  8 Cs 4.98

Properties
- V: 919 Å³ per cell
- Crystal system: tetragonal

=====

Which structure is the most stable? The one labeled two.